<one>
The following is a PBE-GGA calculation of crystalline Al2CrRh at its relaxed geometry, from Alexandria.

The calculation puts the density of states at the Fermi level at 0.55 states/eV per atom. Its crystal system is trigonal.

It has space group R3m (No. 160, hexagonal axes), with a = 2.7718 Å, b = 2.7718 Å, c = 25.4744 Å, α = 90.00°, β = 90.00° and γ = 120.00°. The distinct sites, in fractional coordinates, are Al at (0.0000, 0.0000, 0.0000), Al at (0.0000, 0.0000, 0.2415), Cr at (0.0000, 0.0000, 0.7483) and Rh at (0.0000, 0.0000, 0.4934).

<two>
The following is a PBE-GGA calculation of crystalline Al2CrRh at its relaxed geometry, from Alexandria.

The calculation puts the density of states at the Fermi level at 0.59 states/eV per atom. Its crystal system is tetragonal.

It has space group I-42d (No. 122), with a = 6.8448 Å, b = 6.8448 Å, c = 5.4681 Å, α = 90.00°, β = 90.00° and γ = 90.00°. The distinct sites, in fractional coordinates, are Al at (0.2294, 0.2500, 0.1250), Cr at (0.0000, 0.0000, 0.5000) and Rh at (0.0000, 0.0000, 0.0000).

Most favorable structure: <one>. The second most favorable one is 242 meV/atom above it.